(1)
Below is a geometry-optimized LaTeIr3 structure, with properties calculated at the GGA-PBE level.

- M_tot: 0.00 μB/cell
- ΔE_f (raw): 9.1 eV per formula unit
- Total DFT energy (no corrections): -5.109 eV/atom

Geometry as POSCAR:
```
LaTeIr3
1.0
-3.160 -3.700 1.106
1.374 0.259 4.790
-3.609 3.338 0.855
Ir Te La
3 1 1
Direct
0.500 0.000 0.000
0.000 0.500 0.000
0.000 0.000 0.500
0.500 0.500 0.500
0.000 0.000 0.000
```

(2)
Below is a geometry-optimized Nd4HoSe5 structure, with properties calculated at the GGA-PBE level.

- M_tot: 0.00 μB/cell
- ΔE_f (raw): -18.1 eV per formula unit
- Total DFT energy (no corrections): -5.915 eV/atom

Geometry as POSCAR:
```
Nd4HoSe5
1.0
4.190 0.000 0.000
0.000 4.190 0.000
-2.095 -2.095 14.912
Nd Se Ho
4 5 1
Direct
0.805 0.805 0.610
0.398 0.398 0.796
0.602 0.602 0.204
0.195 0.195 0.390
0.703 0.703 0.406
0.297 0.297 0.594
0.095 0.095 0.191
0.905 0.905 0.809
0.500 0.500 0.000
0.000 0.000 0.000
```